## NdErO2 (PBE)

Data for an optimized crystal structure of NdErO2.

Summary:
**Size of the total moment**: 0.00 μB per formula unit
**Symmetry**: R3m, No. 160
**Formation energy (no corrections)**: -10.87 eV/f.u.

Lattice parameters (Å, degrees): 3.4301 3.4301 6.3725 74.39 74.39 60.00
Fractional coordinates of all 4 atoms:
1 O 0.0674 0.0674 0.7979
2 O 0.2663 0.2663 0.2012
3 Er 0.6716 0.6716 0.9851
4 Nd 0.4947 0.4947 0.5158

## WBr (PBE)

Data for an optimized crystal structure of WBr.

Summary:
**Size of the total moment**: 0.00 μB per formula unit
**Symmetry**: C2/m, No. 12
**Formation energy (no corrections)**: 1.06 eV/f.u.

Lattice parameters (Å, degrees): 7.7964 7.7485 3.1767 78.17 78.25 33.95
Fractional coordinates of all 4 atoms:
1 Br 0.8135 0.6620 0.7623
2 W 0.6647 0.0648 0.1353
3 W 0.2520 0.5186 0.6147
4 Br 0.1032 0.9214 0.9877

## Pm2PaAu (PBE)

Data for an optimized crystal structure of Pm2PaAu.

Summary:
**Size of the total moment**: 0.00 μB per formula unit
**Symmetry**: R-3m, No. 166
**Total DFT energy (no corrections)**: -5.34 eV/atom

Lattice parameters (Å, degrees): 3.4132 3.4132 11.5728 81.52 81.52 60.00
Fractional coordinates of all 4 atoms:
1 Pm 0.9150 0.9150 0.2550
2 Pm 0.0850 0.0850 0.7450
3 Pa 0.5000 0.5000 0.5000
4 Au 0.0000 0.0000 0.0000

## La2PbAu2 (PBE)

Data for an optimized crystal structure of La2PbAu2.

Summary:
**Size of the total moment**: 0.00 μB per formula unit
**Symmetry**: I4/mmm, No. 139
**Total DFT energy (no corrections)**: -4.55 eV/atom

Lattice parameters (Å, degrees): 3.9585 3.9585 9.5532 78.04 78.04 90.00
Fractional coordinates of all 5 atoms:
1 La 0.6130 0.6130 0.7740
2 La 0.3870 0.3870 0.2260
3 Pb 0.0000 0.0000 0.0000
4 Au 0.7500 0.2500 0.5000
5 Au 0.2500 0.7500 0.5000

## K2Mg12Hg7 (PBE)

Data for an optimized crystal structure of K2Mg12Hg7.

Summary:
**Size of the total moment**: 0.00 μB per formula unit
**Symmetry**: P-6, No. 174
**Total DFT energy (no corrections)**: -1.30 eV/atom

Lattice parameters (Å, degrees): 4.6577 11.4005 11.4005 120.00 90.00 90.00
Fractional coordinates of all 21 atoms:
1 Mg 0.0000 0.2850 0.0718
2 Hg 0.5000 0.9211 0.3598
3 Mg 0.5000 0.2212 0.4640
4 Hg 0.0000 0.0764 0.7954
5 Mg 0.0000 0.4793 0.9516
6 Hg 0.0000 0.2046 0.2810
7 Mg 0.5000 0.3801 0.2986
8 Mg 0.5000 0.2428 0.7788
9 Mg 0.0000 0.7868 0.7150
10 Hg 0.0000 0.3333 0.6667
11 Hg 0.0000 0.7190 0.9236
12 Hg 0.5000 0.6402 0.5613
13 K 0.5000 0.0000 0.0000
14 Mg 0.5000 0.7014 0.0815
15 K 0.0000 0.6667 0.3333
16 Mg 0.0000 0.9282 0.2132
17 Mg 0.0000 0.4723 0.5207
18 Hg 0.5000 0.4387 0.0789
19 Mg 0.5000 0.9185 0.6199
20 Mg 0.5000 0.5360 0.7572
21 Mg 0.0000 0.0484 0.5277

## PmAl8Co2 (PBE)

Data for an optimized crystal structure of PmAl8Co2.

Summary:
**Size of the total moment**: 0.00 μB per formula unit
**Symmetry**: P4/mmm, No. 123
**Total DFT energy (no corrections)**: -4.38 eV/atom

Lattice parameters (Å, degrees): 5.6062 5.6062 7.8851 90.00 90.00 90.00
Fractional coordinates of all 11 atoms:
1 Al 0.2507 0.7493 0.1725
2 Al 0.7493 0.7493 0.1725
3 Co 0.5000 0.0000 0.0000
4 Pm 0.5000 0.5000 0.5000
5 Co 0.0000 0.5000 0.0000
6 Al 0.2507 0.2507 0.1725
7 Al 0.7493 0.7493 0.8275
8 Al 0.7493 0.2507 0.1725
9 Al 0.2507 0.2507 0.8275
10 Al 0.7493 0.2507 0.8275
11 Al 0.2507 0.7493 0.8275

| no. | N(E_F) (states/eV/atom) |
| --- | --- |
| 1 | 0.143 |
| 2 | 0.479 |
| 3 | 1.486 |
| 4 | 0.804 |
| 5 | 0.419 |
| 6 | 0.829 |